DFT (PBE) results for a geometry-optimized U3In2Se6 structure.

Unit cell a=7.0971 b=7.0964 c=8.2045 alpha=81.72 beta=73.27 gamma=60.00
Each line ends with the local moment (μB).
Fractional coordinates of all 11 atoms:
Se  0.5973  0.3349  0.2084  -0.06
Se  0.9322  0.6651  0.2084  -0.06
Se  0.2618  0.0000  0.2100  -0.06
Se  0.4027  0.6651  0.7916  -0.06
Se  0.7382  0.0000  0.7900  -0.06
Se  0.0678  0.3349  0.7916  -0.06
U  0.0000  0.0000  0.0000  2.50
U  0.6659  0.6682  0.0000  2.50
U  0.3341  0.3318  0.0000  2.50
In  0.1666  0.6668  0.5000  0.00
In  0.8334  0.3332  0.5000  0.00

## Properties
total DFT energy (no corrections)	-6.392	eV/atom
crystal system	monoclinic
E_form (uncorrected)	-915	meV/atom